DFT (PBE) results for HoTm2Au after structural relaxation.

## Properties
space group: No. 166
M_tot: 0.00 μB per formula unit
total DFT energy (no corrections): -4.487 eV/atom
excess energy over the best structure of this formula in the dataset: 176 meV per atom
formation energy: -0.29 eV/atom

Cell: 10.077 10.077 10.077 Å, 20.81 20.81 20.81°
Positions (direct):
Ho1 0.000 0.000 0.000
Tm1 0.237 0.237 0.237
Tm2 0.763 0.763 0.763
Au1 0.500 0.500 0.500